[1]
Computed, not measured: a geometry-optimized Na4SrHg2 structure at the PBE-GGA level of DFT.

```
Na4SrHg2
1.0
2.268 -10.085 0.000
2.268 10.085 0.000
0.000 0.000 4.941
Na Sr Hg
4 1 2
Cartesian
2.268 6.621 0.000
2.268 3.605 2.471
2.268 -3.605 2.471
2.268 -6.621 0.000
2.268 0.000 0.000
2.268 8.610 2.471
2.268 -8.610 2.471
```

[2]
Computed, not measured: a geometry-optimized Na6SrHg12 structure at the PBE-GGA level of DFT.

```
Na6SrHg12
1.0
7.174 4.142 2.787
-7.174 4.142 2.787
0.000 -8.284 2.787
Na Sr Hg
6 1 12
Cartesian
-2.153 -2.999 2.700
-1.521 3.364 2.700
-3.674 0.365 5.661
3.674 -0.365 2.700
1.521 -3.364 5.661
2.153 2.999 5.661
0.000 0.000 0.000
-4.465 2.107 2.887
0.408 -4.920 2.887
-1.946 0.207 2.877
-4.057 -2.814 5.474
0.794 -1.789 2.877
1.152 1.582 2.877
-1.152 -1.582 5.484
-0.794 1.789 5.484
4.057 2.814 2.887
1.946 -0.207 5.484
-0.408 4.920 5.474
4.465 -2.107 5.474
```

[3]
NaSrHg6, optimized geometry, DFT PBE-GGA; ΔE to the lowest computed polymorph = 10 meV per atom
1.0
5.337 0.000 0.000
0.000 7.006 0.000
0.000 0.000 5.686
Na Sr Hg
1 1 6
Cartesian
0.000 0.000 0.000
2.669 3.503 3.855
0.000 1.633 2.906
0.000 3.503 0.284
0.000 5.373 2.906
2.669 0.000 3.815
2.669 1.620 0.973
2.669 5.385 0.973

[4]
Computed, not measured: a geometry-optimized Na2SrHg7 structure at the PBE-GGA level of DFT.

```
Na2SrHg7
1.0
5.179 0.000 0.000
-2.589 4.485 0.000
0.000 0.000 12.015
Na Sr Hg
2 1 7
Cartesian
0.000 0.000 0.000
0.000 2.990 10.112
2.589 1.495 4.475
0.000 0.000 2.965
0.000 0.000 6.046
0.000 0.000 9.041
0.000 2.990 1.937
0.000 2.990 6.408
2.589 1.495 0.516
2.589 1.495 8.124
```

[5]
Computed, not measured: a geometry-optimized NaSrHg17 structure at the PBE-GGA level of DFT.

```
NaSrHg17
1.0
4.800 2.771 6.722
-4.800 2.771 6.722
0.000 -5.543 6.722
Na Sr Hg
1 1 17
Cartesian
0.000 0.000 0.000
0.000 0.000 11.259
-2.904 -1.676 10.030
0.000 0.000 3.832
0.000 -2.766 9.028
-1.492 -2.981 12.411
-2.396 1.383 9.028
-3.328 0.198 12.411
0.000 0.000 7.475
-2.004 -1.157 14.776
1.492 -2.981 12.411
-1.835 2.783 12.411
2.904 -1.676 10.030
0.000 3.353 10.030
2.396 1.383 9.028
2.004 -1.157 14.776
0.000 2.314 14.776
3.328 0.198 12.411
1.835 2.783 12.411
```

[6]
Na3SrHg3, optimized geometry, DFT PBE-GGA; ΔE to the lowest computed polymorph = 0 meV per atom
1.0
9.644 0.000 0.000
0.000 5.171 0.000
-4.818 0.000 8.360
Na Sr Hg
6 2 6
Cartesian
-1.150 1.293 2.245
-1.363 1.293 6.239
-0.107 3.878 4.307
4.934 1.293 4.053
6.190 3.878 2.120
5.977 3.878 6.115
2.410 3.878 1.394
2.416 1.293 6.965
-3.937 1.293 8.020
1.678 1.293 3.589
0.150 3.878 7.428
4.676 1.293 0.932
3.149 3.878 4.771
8.763 3.878 0.339

[7]
Na3Sr2Hg4, optimized geometry, DFT PBE-GGA; ΔE to the lowest computed polymorph = 17 meV per atom
1.0
3.393 -9.099 0.000
3.393 9.099 0.000
0.000 0.000 8.871
Na Sr Hg
6 4 8
Cartesian
0.000 0.000 0.000
1.696 3.962 2.218
1.696 -3.962 6.653
3.393 0.000 4.436
5.089 3.962 2.218
5.089 -3.962 6.653
3.393 7.146 3.662
3.393 1.953 8.098
3.393 -1.953 0.773
3.393 -7.146 5.209
3.393 5.932 0.393
1.696 0.879 2.218
1.696 -0.879 6.653
3.393 3.167 4.828
3.393 -3.167 4.043
5.089 0.879 2.218
5.089 -0.879 6.653
3.393 -5.932 8.478

[8]
Na2SrHg2, optimized geometry, DFT PBE-GGA; ΔE to the lowest computed polymorph = 69 meV per atom
1.0
8.836 0.000 0.000
0.000 8.836 0.000
0.000 0.000 3.711
Na Sr Hg
4 2 4
Cartesian
1.046 3.372 0.000
3.372 7.790 0.000
5.464 1.046 0.000
7.790 5.464 0.000
0.000 0.000 0.000
4.418 4.418 0.000
1.606 6.024 1.855
2.812 1.606 1.855
6.024 7.230 1.855
7.230 2.812 1.855

Summary of electronic total energy in eV/atom
-1.280; -0.952; -0.904; -0.881; -0.539; -1.226; -1.253; -1.209
(order as listed above)
Summary of energy relative to the elements in eV per atom
-0.200; -0.257; -0.302; -0.237; -0.111; -0.291; -0.306; -0.224
(order as listed above)